<1>
Here is crystalline Li3PdCl at its relaxed geometry from the Alexandria database. Energies are from GGA-PBE.

a b c (Å): 4.501 4.501 4.501
angles (deg): 90.00 90.00 90.00
Fractional positions:
Li1 0.000 0.500 0.000
Li2 0.000 0.000 0.500
Cl1 0.000 0.000 0.000
Pd1 0.500 0.500 0.500
Li3 0.500 0.000 0.000

Calculated values
Fermi-level density of states	0.00	states/eV/cell

<2>
Here is crystalline Li3PdCl at its relaxed geometry from the Alexandria database. Energies are from GGA-PBE.

a b c (Å): 4.797 4.797 4.797
angles (deg): 90.00 90.00 90.00
Fractional positions:
Pd1 0.000 0.000 0.000
Cl1 0.500 0.500 0.500
Li1 0.000 0.000 0.500
Li2 0.500 0.000 0.000
Li3 0.000 0.500 0.000

Calculated values
Fermi-level density of states	0.00	states/eV/cell

<1> is favored, and the nearest alternative lies 0.138 eV/atom above it.

<1>
Here is crystalline Li2PdCl4 at its relaxed geometry from the Alexandria database. Energies are from GGA-PBE.

a b c (Å): 4.971 4.971 7.277
angles (deg): 70.03 70.03 90.00
Fractional positions:
Li1 0.369 0.369 0.262
Cl1 0.188 0.188 0.623
Li2 0.631 0.631 0.738
Cl2 0.000 0.500 0.000
Cl3 0.500 0.000 0.000
Pd1 0.000 0.000 0.000
Cl4 0.812 0.812 0.377

Calculated values
Fermi-level density of states	0.60	states/eV/cell

<2>
Here is crystalline Li2PdCl4 at its relaxed geometry from the Alexandria database. Energies are from GGA-PBE.

a b c (Å): 6.530 6.530 5.834
angles (deg): 124.03 124.03 90.00
Fractional positions:
Cl1 0.697 0.697 0.899
Li1 0.250 0.750 0.500
Li2 0.750 0.250 0.500
Cl2 0.798 0.303 0.101
Cl3 0.303 0.798 0.101
Pd1 0.500 0.500 0.000
Cl4 0.202 0.202 0.899

<3>
Here is crystalline Li2PdCl4 at its relaxed geometry from the Alexandria database. Energies are from GGA-PBE.

a b c (Å): 6.849 9.330 9.330
angles (deg): 90.00 90.00 90.00
Fractional positions:
Li1 0.500 0.704 0.296
Pd1 0.194 0.000 0.500
Cl1 0.687 0.066 0.741
Li2 0.000 0.796 0.204
Cl2 0.187 0.934 0.741
Li3 0.500 0.296 0.704
Li4 0.000 0.204 0.796
Li5 0.500 0.796 0.796
Cl3 0.187 0.241 0.566
Cl4 0.687 0.934 0.259
Cl5 0.813 0.566 0.241
Cl6 0.313 0.741 0.066
Pd2 0.694 0.000 0.500
Pd3 0.306 0.500 0.000
Cl7 0.313 0.434 0.241
Li6 0.000 0.704 0.704
Li7 0.000 0.296 0.296
Cl8 0.813 0.259 0.066
Pd4 0.806 0.500 0.000
Cl9 0.687 0.759 0.566
Cl10 0.313 0.259 0.934
Cl11 0.687 0.241 0.434
Cl12 0.187 0.759 0.434
Cl13 0.187 0.066 0.259
Cl14 0.813 0.434 0.759
Li8 0.500 0.204 0.204
Cl15 0.313 0.566 0.759
Cl16 0.813 0.741 0.934

<3> is favored, and the nearest alternative lies 0.107 eV/atom above it.

<1>
Here is crystalline LiPdCl6 at its relaxed geometry from the Alexandria database. Energies are from GGA-PBE.

a b c (Å): 7.207 6.168 6.643
angles (deg): 62.34 77.44 62.06
Fractional positions:
Pd1 0.500 0.500 0.000
Cl1 0.252 0.873 0.723
Cl2 0.748 0.127 0.277
Cl3 0.353 0.234 0.000
Cl4 0.647 0.766 0.000
Li1 0.000 0.000 0.000
Cl5 0.252 0.595 0.277
Cl6 0.748 0.405 0.723

<2>
Here is crystalline LiPdCl6 at its relaxed geometry from the Alexandria database. Energies are from GGA-PBE.

a b c (Å): 6.293 6.325 6.325
angles (deg): 60.61 90.17 89.83
Fractional positions:
Cl1 0.222 0.313 0.729
Cl2 0.776 0.316 0.022
Pd1 0.000 0.021 0.021
Cl3 0.776 0.020 0.726
Cl4 0.778 0.729 0.313
Li1 0.500 0.021 0.021
Cl5 0.224 0.022 0.316
Cl6 0.224 0.726 0.020

Calculated values
Fermi-level density of states	12.16	states/eV/cell

<1> is favored, and the nearest alternative lies 0.014 eV/atom above it.

<1>
Here is crystalline LiPd3Cl at its relaxed geometry from the Alexandria database. Energies are from GGA-PBE.

a b c (Å): 4.404 4.404 4.404
angles (deg): 90.00 90.00 90.00
Fractional positions:
Li1 0.000 0.000 0.000
Cl1 0.500 0.500 0.500
Pd1 0.500 0.000 0.000
Pd2 0.000 0.000 0.500
Pd3 0.000 0.500 0.000

Calculated values
Fermi-level density of states	4.64	states/eV/cell

<2>
Here is crystalline LiPd3Cl at its relaxed geometry from the Alexandria database. Energies are from GGA-PBE.

a b c (Å): 4.577 4.577 4.577
angles (deg): 90.00 90.00 90.00
Fractional positions:
Li1 0.500 0.500 0.500
Pd1 0.000 0.500 0.000
Pd2 0.000 0.000 0.500
Pd3 0.500 0.000 0.000
Cl1 0.000 0.000 0.000

Calculated values
Fermi-level density of states	0.01	states/eV/cell

<2> is favored, and the nearest alternative lies 0.359 eV/atom above it.

<1>
Here is crystalline Li3PdCl6 at its relaxed geometry from the Alexandria database. Energies are from GGA-PBE.

a b c (Å): 7.551 7.551 7.551
angles (deg): 92.54 92.54 92.54
Fractional positions:
Cl1 0.910 0.694 0.087
Pd1 0.500 0.500 0.500
Cl2 0.516 0.447 0.188
Li1 0.210 0.570 0.118
Li2 0.430 0.882 0.790
Cl3 0.484 0.553 0.812
Li3 0.790 0.430 0.882
Pd2 0.000 0.000 0.000
Cl4 0.306 0.913 0.090
Cl5 0.812 0.484 0.553
Cl6 0.553 0.812 0.484
Li4 0.882 0.790 0.430
Cl7 0.087 0.910 0.694
Cl8 0.090 0.306 0.913
Cl9 0.188 0.516 0.447
Cl10 0.447 0.188 0.516
Li5 0.118 0.210 0.570
Cl11 0.913 0.090 0.306
Cl12 0.694 0.087 0.910
Li6 0.570 0.118 0.210

Calculated values
Fermi-level density of states	9.52	states/eV/cell

<2>
Here is crystalline Li3PdCl6 at its relaxed geometry from the Alexandria database. Energies are from GGA-PBE.

a b c (Å): 6.362 6.501 9.772
angles (deg): 90.00 92.87 90.00
Fractional positions:
Pd1 0.000 0.000 0.000
Li1 0.489 0.947 0.752
Cl1 0.158 0.311 0.073
Cl2 0.842 0.689 0.927
Li2 0.511 0.053 0.248
Cl3 0.342 0.811 0.427
Cl4 0.368 0.581 0.748
Cl5 0.315 0.829 0.072
Li3 0.000 0.000 0.500
Li4 0.989 0.553 0.252
Pd2 0.500 0.500 0.500
Cl6 0.685 0.171 0.928
Cl7 0.185 0.329 0.428
Cl8 0.632 0.419 0.252
Li5 0.011 0.447 0.748
Li6 0.500 0.500 0.000
Cl9 0.815 0.671 0.572
Cl10 0.132 0.081 0.752
Cl11 0.658 0.189 0.573
Cl12 0.868 0.919 0.248

Calculated values
Fermi-level density of states	0.07	states/eV/cell

<1> is favored, and the nearest alternative lies 0.017 eV/atom above it.

<1>
Here is crystalline Li2Pd2Cl7 at its relaxed geometry from the Alexandria database. Energies are from GGA-PBE.

a b c (Å): 6.451 6.451 10.425
angles (deg): 100.36 100.36 120.43
Fractional positions:
Cl1 0.098 0.452 0.141
Cl2 0.548 0.902 0.859
Li1 0.536 0.536 0.717
Cl3 0.902 0.548 0.859
Pd1 0.666 0.334 0.000
Cl4 0.452 0.098 0.141
Cl5 0.279 0.279 0.850
Cl6 0.500 0.500 0.500
Li2 0.464 0.464 0.283
Cl7 0.721 0.721 0.150
Pd2 0.334 0.666 0.000

Calculated values
Fermi-level density of states	4.49	states/eV/cell

<2>
Here is crystalline Li2Pd2Cl7 at its relaxed geometry from the Alexandria database. Energies are from GGA-PBE.

a b c (Å): 7.308 6.656 6.656
angles (deg): 110.98 88.38 88.38
Fractional positions:
Pd1 0.880 0.299 0.299
Cl1 0.356 0.594 0.902
Cl2 0.356 0.902 0.594
Li1 0.500 0.241 0.759
Pd2 0.120 0.701 0.701
Cl3 0.191 0.390 0.390
Cl4 0.644 0.098 0.406
Cl5 0.809 0.610 0.610
Cl6 0.644 0.406 0.098
Li2 0.500 0.759 0.241
Cl7 0.000 0.000 0.000

Calculated values
Fermi-level density of states	6.08	states/eV/cell

<1> is favored, and the nearest alternative lies 0.031 eV/atom above it.